P.
Compound: SbP2
Source: the Alexandria database
Functional: PBE
Structure: relaxed

Lattice parameters (Å, degrees): 3.3769 3.3769 5.3115 90.00 90.00 90.00
With the nearest neighbours (Å) after each atom.
Fractional coordinates of all 3 atoms:
P (0.5000, 0.0000, 0.5000)  4 P 2.39
P (0.0000, 0.5000, 0.5000)  4 P 2.39
Sb (0.0000, 0.0000, 0.0000)  8 P 3.15, 4 Sb 3.38

## Properties
The calculation puts the total magnetization at 0.00 μB/f.u. The calculation puts the density of states at the Fermi level at 0.4544 states/eV per atom. The space group is No. 123. For the volume, the calculation gives 20.19 A^3/atom.

Q.
Compound: SbP2
Source: the Alexandria database
Functional: PBE
Structure: relaxed

Lattice parameters (Å, degrees): 3.8285 3.8285 4.6524 90.00 90.00 120.00
With the nearest neighbours (Å) after each atom.
Fractional coordinates of all 3 atoms:
P (0.6667, 0.3333, 0.6435)  3 P 2.58, 3 Sb 2.76
P (0.3333, 0.6667, 0.3565)  3 P 2.58, 3 Sb 2.76
Sb (0.0000, 0.0000, 0.0000)  6 P 2.76

## Properties
The calculation puts the total magnetization at 0.00 μB/f.u. The calculation puts the density of states at the Fermi level at 0.4872 states/eV per atom. The space group is No. 164. For the volume, the calculation gives 19.69 A^3/atom.

The most stable of them is Q.

P.
Compound: SbP2
Source: the Alexandria database
Functional: PBE
Structure: relaxed

Lattice parameters (Å, degrees): 7.5845 7.5845 5.0660 90.00 90.00 154.33
With the nearest neighbours (Å) after each atom.
Fractional coordinates of all 6 atoms:
P (0.1979, 0.8021, 0.2500)  2 P 2.28
P (0.5939, 0.4061, 0.2500)  2 P 2.28
P (0.4061, 0.5939, 0.7500)  2 P 2.28
P (0.8021, 0.1979, 0.7500)  2 P 2.28
Sb (0.1136, 0.8864, 0.7500)  6 P 2.82-3.06
Sb (0.8864, 0.1136, 0.2500)  6 P 2.82-3.06

## Properties
The calculation puts the total magnetization at 0.00 μB/f.u. The calculation puts the density of states at the Fermi level at 0.3958 states/eV per atom. The space group is No. 63. For the volume, the calculation gives 21.04 A^3/atom.

Q.
Compound: SbP2
Source: the Alexandria database
Functional: PBE
Structure: relaxed

Lattice parameters (Å, degrees): 5.5038 5.5038 10.0502 90.00 90.00 120.00
With the nearest neighbours (Å) after each atom.
Fractional coordinates of all 12 atoms:
P (0.8650, 0.1350, 0.2500)  2 P 2.23
P (0.0000, 0.0000, 0.5000)  6 P 2.82
P (0.7300, 0.8650, 0.7500)  2 P 2.23
P (0.0000, 0.0000, 0.0000)  6 P 2.82
P (0.8650, 0.7300, 0.2500)  2 P 2.23
P (0.2700, 0.1350, 0.2500)  2 P 2.23
P (0.1350, 0.2700, 0.7500)  2 P 2.23
P (0.1350, 0.8650, 0.7500)  2 P 2.23
Sb (0.3333, 0.6667, 0.9665)  6 P 2.88-3.20
Sb (0.6667, 0.3333, 0.4665)  6 P 2.88-3.20
Sb (0.6667, 0.3333, 0.0335)  6 P 2.88-3.20
Sb (0.3333, 0.6667, 0.5335)  6 P 2.88-3.20

## Properties
The calculation puts the total magnetization at 0.00 μB/f.u. The calculation puts the density of states at the Fermi level at 0.6200 states/eV per atom. The space group is No. 194. For the volume, the calculation gives 21.97 A^3/atom.

R.
Compound: SbP2
Source: the Alexandria database
Functional: PBE
Structure: relaxed

Lattice parameters (Å, degrees): 6.5251 6.5251 6.5251 90.00 90.00 90.00
With the nearest neighbours (Å) after each atom.
Fractional coordinates of all 12 atoms:
P (0.0945, 0.9055, 0.5945)  1 P 2.14
P (0.4055, 0.4055, 0.5945)  1 P 2.14
P (0.5945, 0.5945, 0.4055)  1 P 2.14
P (0.9055, 0.4055, 0.9055)  1 P 2.14
P (0.5945, 0.9055, 0.9055)  1 P 2.14
P (0.0945, 0.5945, 0.0945)  1 P 2.14
P (0.9055, 0.0945, 0.4055)  1 P 2.14
P (0.4055, 0.0945, 0.0945)  1 P 2.14
Sb (0.0000, 0.0000, 0.0000)  6 P 2.79
Sb (0.5000, 0.0000, 0.5000)  6 P 2.79
Sb (0.5000, 0.5000, 0.0000)  6 P 2.79
Sb (0.0000, 0.5000, 0.5000)  6 P 2.79

## Properties
The calculation puts the total magnetization at 0.00 μB/f.u. The calculation puts the density of states at the Fermi level at 0.3987 states/eV per atom. The space group is No. 205. For the volume, the calculation gives 23.15 A^3/atom.

S.
Compound: SbP2
Source: the Alexandria database
Functional: PBE
Structure: relaxed

Lattice parameters (Å, degrees): 8.4062 8.4062 6.0194 63.22 63.22 22.10
With the nearest neighbours (Å) after each atom.
Fractional coordinates of all 6 atoms:
P (0.8600, 0.8600, 0.7745)  2 P 2.21
P (0.5399, 0.5399, 0.2893)  3 P 2.21-2.26
P (0.1400, 0.1400, 0.2255)  2 P 2.21
P (0.4601, 0.4601, 0.7107)  3 P 2.21-2.26
Sb (0.1545, 0.1545, 0.6487)  1 P 2.67
Sb (0.8455, 0.8455, 0.3513)  1 P 2.67

## Properties
The calculation puts the total magnetization at 0.00 μB/f.u. The calculation puts the density of states at the Fermi level at 0.3679 states/eV per atom. The space group is No. 12. For the volume, the calculation gives 23.69 A^3/atom.

The most stable of them is S.